Record 1
A plane-wave DFT calculation with PBE was carried out for an optimized crystal structure of KAu3O.

As for the energy relative to the lowest polymorph listed for this composition: 1669 meV per atom. As for the formation energy (no corrections): 1.7826 eV/atom.

The structure belongs to space group Pm-3m (No. 221); the cell edges are 5.697, 5.697 and 5.697 Å and the angles 90.00°, 90.00° and 90.00°. The distinct sites, in fractional coordinates, are K at (0.000, 0.000, 0.000), Au at (0.000, 0.000, 0.500) and O at (0.500, 0.500, 0.500).

---

Record 2
A plane-wave DFT calculation with PBE was carried out for an optimized crystal structure of LiThNi2.

The value obtained for the electronic total energy is -65.6 eV per cell.

The structure belongs to space group R-3m (No. 166, hexagonal axes); the cell edges are 4.1470, 4.1470 and 13.7178 Å and the angles 90.00°, 90.00° and 120.00°. The distinct sites, in fractional coordinates, are Li at (0.0000, 0.0000, 0.0000), Th at (0.0000, 0.0000, 0.5000) and Ni at (0.0000, 0.0000, 0.2923).

---

Record 3
A plane-wave DFT calculation with PBE was carried out for an optimized crystal structure of Be2GaTeI.

As for the formation energy (no corrections): 0.7871 eV/atom.

The structure belongs to space group P4/mmm (No. 123); the cell edges are 4.766, 4.766 and 9.500 Å and the angles 90.00°, 90.00° and 90.00°. The distinct sites, in fractional coordinates, are Be at (0.000, 0.500, 0.000), Ga at (0.000, 0.000, 0.500), Te at (0.500, 0.500, 0.000) and I at (0.500, 0.500, 0.500).

---

Record 4
A plane-wave DFT calculation with PBE was carried out for an optimized crystal structure of Li2TaW.

As for the energy relative to the lowest polymorph listed for this composition: 300 meV per atom.

The structure belongs to space group Cm (No. 8); the cell edges are 9.347, 2.583 and 5.586 Å and the angles 90.00°, 94.61° and 90.00°. The distinct sites, in fractional coordinates, are Li at (0.000, 0.000, 0.000), Li at (0.249, 0.500, 0.235), Ta at (0.003, 0.500, 0.515) and W at (0.249, 0.000, 0.732).

---

Record 5
A plane-wave DFT calculation with PBE was carried out for an optimized crystal structure of RbNpTeS6.

As for the formation energy (no corrections): -0.5529 eV/atom.

The structure belongs to space group P312 (No. 149); the cell edges are 6.7020, 6.7020 and 7.6181 Å and the angles 90.00°, 90.00° and 120.00°. The distinct sites, in fractional coordinates, are Rb at (0.0000, 0.0000, 0.0000), Np at (0.6667, 0.3333, 0.5000), Te at (0.3333, 0.6667, 0.5000) and S at (0.3779, 0.0143, 0.3102).

---

Record 6
A plane-wave DFT calculation with PBE was carried out for an optimized crystal structure of CePr2Te3.

As for the formation energy (no corrections): -1.4233 eV/atom.

The structure belongs to space group Immm (No. 71); the cell edges are 4.499, 6.383 and 13.630 Å and the angles 90.00°, 90.00° and 90.00°. The distinct sites, in fractional coordinates, are Ce at (0.000, 0.000, 0.000), Pr at (0.000, 0.000, 0.330), Te at (0.000, 0.500, 0.000) and Te at (0.000, 0.500, 0.336).

---

Record 7
A plane-wave DFT calculation with PBE was carried out for an optimized crystal structure of Li2InIr.

The value obtained for the electronic total energy is -46.0 eV per cell.

The structure belongs to space group R-3m (No. 166, hexagonal axes); the cell edges are 2.8843, 2.8843 and 27.8220 Å and the angles 90.00°, 90.00° and 120.00°. The distinct sites, in fractional coordinates, are Li at (0.0000, 0.0000, 0.2400), In at (0.0000, 0.0000, 0.0000) and Ir at (0.0000, 0.0000, 0.5000).

---

Record 8
A plane-wave DFT calculation with PBE was carried out for an optimized crystal structure of NaZnH3.

As for the energy relative to the lowest polymorph listed for this composition: 0 meV per atom.

The structure belongs to space group R-3 (No. 148, hexagonal axes); the cell edges are 14.7243, 14.7243 and 6.5532 Å and the angles 90.00°, 90.00° and 120.00°. The distinct sites, in fractional coordinates, are Na at (0.0679, 0.8561, 0.1935), Zn at (0.0683, 0.5704, 0.3851), H at (0.0191, 0.4334, 0.4327), H at (0.0352, 0.5771, 0.1570) and H at (0.0380, 0.8902, 0.8128).

---

Record 9
A plane-wave DFT calculation with PBE was carried out for an optimized crystal structure of MnAl4.

As for the energy relative to the lowest polymorph listed for this composition: 0 meV per atom.

The structure belongs to space group I4/m (No. 87); the cell edges are 6.255, 6.255 and 3.712 Å and the angles 90.00°, 90.00° and 90.00°. The distinct sites, in fractional coordinates, are Mn at (0.000, 0.000, 0.000) and Al at (0.105, 0.293, 0.500).

---

Record 10
A plane-wave DFT calculation with PBE was carried out for an optimized crystal structure of Sr2Zn4SnPt3.

The value obtained for the electronic total energy is -36.6 eV per cell.

The structure belongs to space group P-4m2 (No. 115); the cell edges are 4.287, 4.287 and 11.366 Å and the angles 90.00°, 90.00° and 90.00°. The distinct sites, in fractional coordinates, are Sr at (0.000, 0.500, 0.240), Zn at (0.000, 0.000, 0.000), Zn at (0.000, 0.500, 0.647), Zn at (0.500, 0.500, 0.000), Sn at (0.000, 0.000, 0.500), Pt at (0.000, 0.500, 0.870) and Pt at (0.500, 0.500, 0.500).

---

Record 11
A plane-wave DFT calculation with PBE was carried out for an optimized crystal structure of CaMgSe2O8.

As for the formation energy (no corrections): -1.4281 eV/atom.

The structure belongs to space group R-3 (No. 148, hexagonal axes); the cell edges are 4.9725, 4.9725 and 21.6350 Å and the angles 90.00°, 90.00° and 120.00°. The distinct sites, in fractional coordinates, are Ca at (0.0000, 0.0000, 0.0000), Mg at (0.0000, 0.0000, 0.5000), Se at (0.0000, 0.0000, 0.2473), O at (0.0000, 0.0000, 0.3246) and O at (0.0024, 0.6779, 0.7743).

---

Record 12
A plane-wave DFT calculation with PBE was carried out for an optimized crystal structure of LaTb2Nd6Y3.

The value obtained for the electronic total energy is -124.0 eV per cell.

The structure belongs to space group C2/m (No. 12); the cell edges are 6.316, 10.945 and 12.008 Å and the angles 90.00°, 100.12° and 90.00°. The distinct sites, in fractional coordinates, are La at (0.000, 0.000, 0.000), Tb at (0.000, 0.333, 0.000), Nd at (0.249, 0.333, 0.748), Nd at (0.250, 0.000, 0.748), Y at (0.000, 0.167, 0.500) and Y at (0.000, 0.500, 0.500).

---

Across the entries above, ρ takes the values 5.80, 8.69, 2.63, 9.35, 3.60, 6.83, 7.98, 2.22, 3.72, 9.07, 3.77, 6.46 Mg/m³, respectively.